Entry 1:
# SrSbBr | Alexandria via LeMat-Bulk | PBE | optimized geometry
# Raw formation energy = -879 meV/atom
# Energy above the most stable polymorph in this dataset = 522 meV/atom
# Mass density = 4.0 Mg/m³
# Total energy = -0.2478 Ry per atom
# Total magnetic moment = 0.0 μB per formula unit
# Crystal system = trigonal
data_SrSbBr
_chemical_formula_sum 'Sr1 Sb1 Br1'
_space_group_name_H-M_alt 'P 1'
_space_group_IT_number 1
_space_group_name_Hall 'P 1'
_cell_length_a 4.021
_cell_length_b 4.021
_cell_length_c 8.557
_cell_angle_alpha 90.00
_cell_angle_beta 90.00
_cell_angle_gamma 120.00
loop_
_atom_site_label
_atom_site_type_symbol
_atom_site_fract_x
_atom_site_fract_y
_atom_site_fract_z
Sr1 Sr 0.000 0.000 0.000
Sb1 Sb 0.333 0.667 0.692
Br1 Br 0.667 0.333 0.218

***

Entry 2:
# Cs3Zn2Sb4Pb2 | Alexandria via LeMat-Bulk | PBE | optimized geometry
# Raw formation energy = -267 meV/atom
# Mass density = 5.4 Mg/m³
# Total energy = -0.2135 Ry per atom
# Total magnetic moment = 0.0 μB per formula unit
# Crystal system = trigonal
data_Cs3Zn2Sb4Pb2
_chemical_formula_sum 'Cs3 Zn2 Sb4 Pb2'
_space_group_name_H-M_alt 'P 1'
_space_group_IT_number 1
_space_group_name_Hall 'P 1'
_cell_length_a 4.628
_cell_length_b 4.628
_cell_length_c 23.584
_cell_angle_alpha 90.00
_cell_angle_beta 90.00
_cell_angle_gamma 120.00
loop_
_atom_site_label
_atom_site_type_symbol
_atom_site_fract_x
_atom_site_fract_y
_atom_site_fract_z
Cs1 Cs 0.000 0.000 0.000
Cs2 Cs 0.000 0.000 0.260
Cs3 Cs 0.000 0.000 0.740
Zn1 Zn 0.333 0.667 0.129
Zn2 Zn 0.667 0.333 0.871
Sb1 Sb 0.333 0.667 0.378
Sb2 Sb 0.333 0.667 0.871
Sb3 Sb 0.667 0.333 0.129
Sb4 Sb 0.667 0.333 0.622
Pb1 Pb 0.333 0.667 0.562
Pb2 Pb 0.667 0.333 0.438

***

Entry 3:
# GaSi2Hg | Alexandria via LeMat-Bulk | PBE | optimized geometry
# Raw formation energy = 565 meV/atom
# Energy above the most stable polymorph in this dataset = 66 meV/atom
# Mass density = 7.1 Mg/m³
# Total energy = -0.2190 Ry per atom
# Total magnetic moment = 0.0 μB per formula unit
# Crystal system = cubic
data_GaSi2Hg
_chemical_formula_sum 'Ga1 Si2 Hg1'
_space_group_name_H-M_alt 'P 1'
_space_group_IT_number 1
_space_group_name_Hall 'P 1'
_cell_length_a 4.762
_cell_length_b 4.762
_cell_length_c 4.762
_cell_angle_alpha 60.00
_cell_angle_beta 60.00
_cell_angle_gamma 60.00
loop_
_atom_site_label
_atom_site_type_symbol
_atom_site_fract_x
_atom_site_fract_y
_atom_site_fract_z
Ga1 Ga 0.000 0.000 0.000
Si1 Si 0.250 0.250 0.250
Si2 Si 0.750 0.750 0.750
Hg1 Hg 0.500 0.500 0.500